This record from Alexandria describes a relaxed Mg2ScP crystal. The functional is PBE.

Energy of formation (eV/f.u.): -2.2
Space group: Pm
E_tot (eV per atom): -4.283

Cell lengths 3.588, 3.765, 6.413 Å; angles 73.03, 90.00, 90.00 degrees
Element x y z (fractional)
Sc: 0.500 0.723 0.678
Mg: 0.000 0.063 0.998
Mg: 0.500 0.438 0.248
P: 0.000 0.275 0.576